[1]
Th4Ge2Sb | PBE | relaxed

Values from the calculation:
Raw formation energy, eV per atom: -0.609

```
data_Th4Ge2Sb
_chemical_formula_sum 'Th8 Ge4 Sb2'
_cell_length_a 4.2544
_cell_length_b 7.4427
_cell_length_c 14.1164
_cell_angle_alpha 90.00
_cell_angle_beta 90.00
_cell_angle_gamma 106.61
_symmetry_space_group_name_H-M 'P 1'
_symmetry_Int_Tables_number 1
loop_
_symmetry_equiv_pos_as_xyz
'x,y,z'
loop_
_atom_site_label
_atom_site_type_symbol
_atom_site_fract_x
_atom_site_fract_y
_atom_site_fract_z
_atom_site_occupancy
Th1 Th 0.7701 0.5401 0.1236 1
Th2 Th 0.7701 0.5401 0.3764 1
Th3 Th 0.2299 0.4599 0.8764 1
Th4 Th 0.2299 0.4599 0.6236 1
Th5 Th 0.9370 0.8740 0.7500 1
Th6 Th 0.0630 0.1260 0.2500 1
Th7 Th 0.5000 0.0000 0.0000 1
Th8 Th 0.5000 0.0000 0.5000 1
Ge1 Ge 0.1374 0.2749 0.4413 1
Ge2 Ge 0.8626 0.7251 0.9413 1
Ge3 Ge 0.1374 0.2749 0.0587 1
Ge4 Ge 0.8626 0.7251 0.5587 1
Sb1 Sb 0.6018 0.2036 0.7500 1
Sb2 Sb 0.3982 0.7964 0.2500 1
```


[2]
HoZnCdIn | PBE | relaxed

Values from the calculation:
Formation energy, eV per atom: -0.2274

```
data_HoZnCdIn
_chemical_formula_sum 'Ho1 Zn1 Cd1 In1'
_cell_length_a 5.0317
_cell_length_b 5.0317
_cell_length_c 5.0317
_cell_angle_alpha 60.00
_cell_angle_beta 60.00
_cell_angle_gamma 60.00
_symmetry_space_group_name_H-M 'P 1'
_symmetry_Int_Tables_number 1
loop_
_symmetry_equiv_pos_as_xyz
'x,y,z'
loop_
_atom_site_label
_atom_site_type_symbol
_atom_site_fract_x
_atom_site_fract_y
_atom_site_fract_z
_atom_site_occupancy
Zn1 Zn 0.0000 0.0000 0.0000 1
Cd1 Cd 0.7500 0.7500 0.7500 1
Ho1 Ho 0.2500 0.2500 0.2500 1
In1 In 0.5000 0.5000 0.5000 1
```


[3]
Rb2CrHgBr6 | PBE | relaxed

Values from the calculation:
Raw formation energy, eV per atom: -1.033

```
data_Rb2CrHgBr6
_chemical_formula_sum 'Rb2 Cr1 Hg1 Br6'
_cell_length_a 7.7684
_cell_length_b 7.7684
_cell_length_c 7.7900
_cell_angle_alpha 60.09
_cell_angle_beta 60.09
_cell_angle_gamma 90.00
_symmetry_space_group_name_H-M 'P 1'
_symmetry_Int_Tables_number 1
loop_
_symmetry_equiv_pos_as_xyz
'x,y,z'
loop_
_atom_site_label
_atom_site_type_symbol
_atom_site_fract_x
_atom_site_fract_y
_atom_site_fract_z
_atom_site_occupancy
Cr1 Cr 0.5000 0.5000 0.0000 1
Br1 Br 0.2680 0.2680 0.4641 1
Br2 Br 0.7320 0.7320 0.5359 1
Br3 Br 0.2659 0.2659 0.0000 1
Br4 Br 0.7341 0.7341 0.0000 1
Br5 Br 0.7341 0.2659 0.0000 1
Br6 Br 0.2659 0.7341 0.0000 1
Hg1 Hg 0.0000 0.0000 0.0000 1
Rb1 Rb 0.7500 0.2500 0.5000 1
Rb2 Rb 0.2500 0.7500 0.5000 1
```


[4]
Mo2PtSe | PBE | relaxed

Values from the calculation:
Raw formation energy, eV per atom: 0.077

```
data_Mo2PtSe
_chemical_formula_sum 'Mo2 Pt1 Se1'
_cell_length_a 9.2111
_cell_length_b 9.2111
_cell_length_c 9.2111
_cell_angle_alpha 18.32
_cell_angle_beta 18.32
_cell_angle_gamma 18.32
_symmetry_space_group_name_H-M 'P 1'
_symmetry_Int_Tables_number 1
loop_
_symmetry_equiv_pos_as_xyz
'x,y,z'
loop_
_atom_site_label
_atom_site_type_symbol
_atom_site_fract_x
_atom_site_fract_y
_atom_site_fract_z
_atom_site_occupancy
Mo1 Mo 0.0041 0.0041 0.0041 1
Mo2 Mo 0.2514 0.2514 0.2514 1
Pt1 Pt 0.5054 0.5054 0.5054 1
Se1 Se 0.7391 0.7391 0.7391 1
```


[5]
PmPrCoOs | PBE | relaxed

Values from the calculation:
Formation energy, eV per atom: -0.0692
Polymorph energy (0 for the lowest one), eV per atom: 0.000

```
data_PmPrCoOs
_chemical_formula_sum 'Pm1 Pr1 Co1 Os1'
_cell_length_a 4.1339
_cell_length_b 4.1339
_cell_length_c 7.4982
_cell_angle_alpha 90.02
_cell_angle_beta 105.97
_cell_angle_gamma 120.02
_symmetry_space_group_name_H-M 'P 1'
_symmetry_Int_Tables_number 1
loop_
_symmetry_equiv_pos_as_xyz
'x,y,z'
loop_
_atom_site_label
_atom_site_type_symbol
_atom_site_fract_x
_atom_site_fract_y
_atom_site_fract_z
_atom_site_occupancy
Pm1 Pm 0.9976 0.8633 0.8610 1
Pr1 Pr 0.3512 0.0402 0.3914 1
Co1 Co 0.5070 0.6181 0.1251 1
Os1 Os 0.8363 0.2827 0.1190 1
```


[6]
Ho2NpPaC4 | PBE | relaxed

Values from the calculation:
Formation energy, eV per atom: -0.2460

```
data_Ho2NpPaC4
_chemical_formula_sum 'Ho2 Np1 Pa1 C4'
_cell_length_a 3.5955
_cell_length_b 6.0989
_cell_length_c 6.2110
_cell_angle_alpha 70.42
_cell_angle_beta 90.00
_cell_angle_gamma 90.00
_symmetry_space_group_name_H-M 'P 1'
_symmetry_Int_Tables_number 1
loop_
_symmetry_equiv_pos_as_xyz
'x,y,z'
loop_
_atom_site_label
_atom_site_type_symbol
_atom_site_fract_x
_atom_site_fract_y
_atom_site_fract_z
_atom_site_occupancy
Ho1 Ho 0.0000 0.0000 0.0000 1
Ho2 Ho 0.5000 0.0000 0.5000 1
Np1 Np 0.5000 0.5000 0.0000 1
Pa1 Pa 0.0000 0.5000 0.5000 1
C1 C 0.0000 0.7218 0.7657 1
C2 C 0.0000 0.2782 0.2343 1
C3 C 0.5000 0.7211 0.2465 1
C4 C 0.5000 0.2789 0.7535 1
```


[7]
NpCuS2 | PBE | relaxed

Values from the calculation:
Raw formation energy, eV per atom: -0.940
Polymorph energy (0 for the lowest one), eV per atom: 0.000

```
data_NpCuS2
_chemical_formula_sum 'Np2 Cu2 S4'
_cell_length_a 3.9372
_cell_length_b 6.1665
_cell_length_c 6.8590
_cell_angle_alpha 91.11
_cell_angle_beta 90.00
_cell_angle_gamma 90.00
_symmetry_space_group_name_H-M 'P 1'
_symmetry_Int_Tables_number 1
loop_
_symmetry_equiv_pos_as_xyz
'x,y,z'
loop_
_atom_site_label
_atom_site_type_symbol
_atom_site_fract_x
_atom_site_fract_y
_atom_site_fract_z
_atom_site_occupancy
Np1 Np 0.0000 0.0000 0.0000 1
Np2 Np 0.5000 0.0000 0.5000 1
Cu1 Cu 0.5000 0.6277 0.1669 1
Cu2 Cu 0.5000 0.3723 0.8331 1
S1 S 0.0000 0.2473 0.6752 1
S2 S 0.5000 0.2510 0.1672 1
S3 S 0.5000 0.7490 0.8328 1
S4 S 0.0000 0.7527 0.3248 1
```


[8]
K2NdF5 | PBE | relaxed

Values from the calculation:
Raw formation energy, eV per atom: -3.461

```
data_K2NdF5
_chemical_formula_sum 'K8 Nd4 F20'
_cell_length_a 6.7615
_cell_length_b 7.5939
_cell_length_c 11.0335
_cell_angle_alpha 90.00
_cell_angle_beta 90.00
_cell_angle_gamma 90.00
_symmetry_space_group_name_H-M 'P 1'
_symmetry_Int_Tables_number 1
loop_
_symmetry_equiv_pos_as_xyz
'x,y,z'
loop_
_atom_site_label
_atom_site_type_symbol
_atom_site_fract_x
_atom_site_fract_y
_atom_site_fract_z
_atom_site_occupancy
K1 K 0.5280 0.4973 0.8278 1
K2 K 0.4720 0.5027 0.1722 1
K3 K 0.0280 0.5027 0.6722 1
K4 K 0.4720 0.9973 0.1722 1
K5 K 0.9720 0.4973 0.3278 1
K6 K 0.5280 0.0027 0.8278 1
K7 K 0.9720 0.0027 0.3278 1
K8 K 0.0280 0.9973 0.6722 1
Nd1 Nd 0.5630 0.7500 0.5052 1
Nd2 Nd 0.4370 0.2500 0.4948 1
Nd3 Nd 0.0630 0.2500 0.9948 1
Nd4 Nd 0.9370 0.7500 0.0052 1
F1 F 0.8288 0.7500 0.8028 1
F2 F 0.1712 0.2500 0.1972 1
F3 F 0.3288 0.2500 0.6972 1
F4 F 0.6712 0.7500 0.3028 1
F5 F 0.3608 0.7500 0.6706 1
F6 F 0.6392 0.2500 0.3294 1
F7 F 0.8608 0.2500 0.8294 1
F8 F 0.1392 0.7500 0.1706 1
F9 F 0.9037 0.7500 0.5114 1
F10 F 0.0963 0.2500 0.4886 1
F11 F 0.4037 0.2500 0.9886 1
F12 F 0.5963 0.7500 0.0114 1
F13 F 0.6467 0.0334 0.5817 1
F14 F 0.3533 0.9666 0.4183 1
F15 F 0.1467 0.9666 0.9183 1
F16 F 0.3533 0.5334 0.4183 1
F17 F 0.8533 0.0334 0.0817 1
F18 F 0.6467 0.4666 0.5817 1
F19 F 0.8533 0.4666 0.0817 1
F20 F 0.1467 0.5334 0.9183 1
```


[9]
MgAsCl2 | PBE | relaxed

Values from the calculation:
Raw formation energy, eV per atom: -0.733
Polymorph energy (0 for the lowest one), eV per atom: 0.153

```
data_MgAsCl2
_chemical_formula_sum 'Mg1 As1 Cl2'
_cell_length_a 7.7318
_cell_length_b 7.7318
_cell_length_c 7.7318
_cell_angle_alpha 155.16
_cell_angle_beta 143.24
_cell_angle_gamma 44.88
_symmetry_space_group_name_H-M 'P 1'
_symmetry_Int_Tables_number 1
loop_
_symmetry_equiv_pos_as_xyz
'x,y,z'
loop_
_atom_site_label
_atom_site_type_symbol
_atom_site_fract_x
_atom_site_fract_y
_atom_site_fract_z
_atom_site_occupancy
As1 As 0.6216 0.1216 0.5000 1
Cl1 Cl 0.0634 0.0634 0.0000 1
Cl2 Cl 0.3490 0.8490 0.5000 1
Mg1 Mg 0.4660 0.4660 0.0000 1
```


[10]
Dy4TaN5 | PBE | relaxed

Values from the calculation:
Raw formation energy, eV per atom: -1.568

```
data_Dy4TaN5
_chemical_formula_sum 'Dy4 Ta1 N5'
_cell_length_a 4.8685
_cell_length_b 5.8604
_cell_length_c 5.8604
_cell_angle_alpha 80.06
_cell_angle_beta 65.46
_cell_angle_gamma 65.46
_symmetry_space_group_name_H-M 'P 1'
_symmetry_Int_Tables_number 1
loop_
_symmetry_equiv_pos_as_xyz
'x,y,z'
loop_
_atom_site_label
_atom_site_type_symbol
_atom_site_fract_x
_atom_site_fract_y
_atom_site_fract_z
_atom_site_occupancy
Dy1 Dy 0.3992 0.4031 0.8003 1
Dy2 Dy 0.8022 0.8003 0.5969 1
Dy3 Dy 0.1995 0.1997 0.4031 1
Dy4 Dy 0.6026 0.5969 0.1997 1
Ta1 Ta 0.0384 0.0000 0.0000 1
N1 N 0.9109 0.3707 0.8155 1
N2 N 0.2816 0.8155 0.6293 1
N3 N 0.7264 0.1845 0.3707 1
N4 N 0.0971 0.6293 0.1845 1
N5 N 0.4524 0.0000 0.0000 1
```


[11]
Y3Tl2N | PBE | relaxed

Values from the calculation:
Raw formation energy, eV per atom: -0.637

```
data_Y3Tl2N
_chemical_formula_sum 'Y6 Tl4 N2'
_cell_length_a 5.6866
_cell_length_b 7.0394
_cell_length_c 8.0406
_cell_angle_alpha 102.70
_cell_angle_beta 110.71
_cell_angle_gamma 90.00
_symmetry_space_group_name_H-M 'P 1'
_symmetry_Int_Tables_number 1
loop_
_symmetry_equiv_pos_as_xyz
'x,y,z'
loop_
_atom_site_label
_atom_site_type_symbol
_atom_site_fract_x
_atom_site_fract_y
_atom_site_fract_z
_atom_site_occupancy
Y1 Y 0.4940 0.2500 0.0000 1
Y2 Y 0.5060 0.7500 0.0000 1
Y3 Y 0.1072 0.0547 0.2162 1
Y4 Y 0.8910 0.4453 0.7838 1
Y5 Y 0.1090 0.5547 0.2162 1
Y6 Y 0.8928 0.9453 0.7838 1
Tl1 Tl 0.7018 0.5993 0.4018 1
Tl2 Tl 0.7000 0.0993 0.4018 1
Tl3 Tl 0.3000 0.9007 0.5982 1
Tl4 Tl 0.2982 0.4007 0.5982 1
N1 N 0.9906 0.7500 0.0000 1
N2 N 0.0094 0.2500 0.0000 1
```


[12]
Nb6ReTc | PBE | relaxed

Values from the calculation:
Formation energy, eV per atom: -0.2008
Polymorph energy (0 for the lowest one), eV per atom: 0.000

```
data_Nb6ReTc
_chemical_formula_sum 'Nb6 Re1 Tc1'
_cell_length_a 4.5800
_cell_length_b 4.5800
_cell_length_c 7.3300
_cell_angle_alpha 71.80
_cell_angle_beta 71.80
_cell_angle_gamma 90.00
_symmetry_space_group_name_H-M 'P 1'
_symmetry_Int_Tables_number 1
loop_
_symmetry_equiv_pos_as_xyz
'x,y,z'
loop_
_atom_site_label
_atom_site_type_symbol
_atom_site_fract_x
_atom_site_fract_y
_atom_site_fract_z
_atom_site_occupancy
Nb1 Nb 0.7494 0.7493 0.5014 1
Nb2 Nb 0.6207 0.1207 0.7585 1
Nb3 Nb 0.1207 0.6207 0.7585 1
Nb4 Nb 0.3793 0.8793 0.2415 1
Nb5 Nb 0.2506 0.2507 0.4986 1
Nb6 Nb 0.8793 0.3793 0.2415 1
Re1 Re 0.5000 0.5000 0.0000 1
Tc1 Tc 0.0000 0.0000 0.0000 1
```


Table of E_tot (eV per atom), in record order: -6.757 -2.604 -3.223 -7.720 -7.036 -8.807 -7.263 -5.501 -3.218 -8.757 -6.045 -10.605